The following is a DFT calculation (PBE-GGA) of TmPa2Al9 after structural relaxation.

abc: 4.282 4.282 12.831
angles: 90.00 90.00 90.00
Space group P4/mmm (No. 123)
One atom of each set of equivalent atoms:
Tm 0.000 0.000 0.000 x1
Pa 0.000 0.000 0.331 x2
Al 0.000 0.500 0.164 x4
Al 0.000 0.500 0.500 x2
Al 0.500 0.500 0.000 x1
Al 0.500 0.500 0.333 x2

Calculated values
DFT formation energy, kJ/mol of formula units: -355



The following is a DFT calculation (PBE-GGA) of TmPa2Al after structural relaxation.

abc: 4.375 4.375 4.974
angles: 90.00 90.00 90.00
Space group P4/mmm (No. 123)
One atom of each set of equivalent atoms:
Tm 0.000 0.000 0.000 x1
Pa 0.000 0.500 0.500 x2
Al 0.500 0.500 0.000 x1

Calculated values
DFT formation energy, kJ/mol of formula units: -17
Relative energy among the computed polymorphs, kJ per mole of atoms: 0.0



The following is a DFT calculation (PBE-GGA) of Tm2PaAl after structural relaxation.

abc: 3.2408 3.2408 33.7869
angles: 90.00 90.00 120.00
Space group R-3m (No. 166, hexagonal axes)
One atom of each set of equivalent atoms:
Tm 0.0000 0.0000 0.0957 x6
Pa 0.0000 0.0000 0.0000 x3
Al 0.0000 0.0000 0.5000 x3

Calculated values
DFT formation energy, kJ/mol of formula units: 64
Relative energy among the computed polymorphs, kJ per mole of atoms: 25.0



The following is a DFT calculation (PBE-GGA) of Tm2PaAl after structural relaxation.

abc: 3.346 3.346 8.935
angles: 90.00 90.00 90.00
Space group P4/mmm (No. 123)
One atom of each set of equivalent atoms:
Tm 0.000 0.000 0.226 x2
Pa 0.500 0.500 0.500 x1
Al 0.500 0.500 0.000 x1

Calculated values
DFT formation energy, kJ/mol of formula units: -36
Relative energy among the computed polymorphs, kJ per mole of atoms: 0.0



The following is a DFT calculation (PBE-GGA) of TmPaAl4 after structural relaxation.

abc: 7.813 7.813 7.813
angles: 90.00 90.00 90.00
Space group F-43m (No. 216)
One atom of each set of equivalent atoms:
Tm 0.000 0.000 0.000 x4
Pa 0.250 0.250 0.250 x4
Al 0.125 0.125 0.625 x16

Calculated values
DFT formation energy, kJ/mol of formula units: -194



The following is a DFT calculation (PBE-GGA) of TmPa2Al after structural relaxation.

abc: 3.1362 3.1362 34.2072
angles: 90.00 90.00 120.00
Space group R-3m (No. 166, hexagonal axes)
One atom of each set of equivalent atoms:
Tm 0.0000 0.0000 0.0000 x3
Pa 0.0000 0.0000 0.0908 x6
Al 0.0000 0.0000 0.5000 x3

Calculated values
DFT formation energy, kJ/mol of formula units: 75
Relative energy among the computed polymorphs, kJ per mole of atoms: 22.9



The following is a DFT calculation (PBE-GGA) of Tm2PaAl after structural relaxation.

abc: 4.690 4.690 4.510
angles: 90.00 90.00 90.00
Space group P4/mmm (No. 123)
One atom of each set of equivalent atoms:
Tm 0.000 0.500 0.000 x2
Pa 0.000 0.000 0.500 x1
Al 0.500 0.500 0.500 x1

Calculated values
DFT formation energy, kJ/mol of formula units: -7
Relative energy among the computed polymorphs, kJ per mole of atoms: 7.2



The following is a DFT calculation (PBE-GGA) of UPaAl4 after structural relaxation.

abc: 7.751 7.751 7.751
angles: 90.00 90.00 90.00
Space group F-43m (No. 216)
One atom of each set of equivalent atoms:
U 0.000 0.000 0.000 x4
Pa 0.250 0.250 0.250 x4
Al 0.125 0.125 0.625 x16

Calculated values
DFT formation energy, kJ/mol of formula units: -133